[1]
The following is a DFT calculation (PBE) of a geometry-optimized PuZnIrO6 structure.

The value obtained for the density of states at the Fermi level is 0.228 states/eV/atom. The calculation puts the magnetization at 1.93 μB/cell. The calculation puts the uncorrected formation energy at -1622 meV/atom. The raw total energy is -0.5620 Ry/atom.

abc: 5.143 5.143 9.512
angles: 90.00 90.00 120.00
Site moments in Bohr magnetons follow the coordinates.
Sites, in units of the cell vectors:
Ir: 0.667 0.333 0.750  -0.34
Ir: 0.333 0.667 0.250  -0.34
O: 0.991 0.333 0.630  -0.10
O: 0.009 0.342 0.130  -0.10
O: 0.333 0.991 0.130  -0.10
O: 0.333 0.342 0.370  -0.10
O: 0.667 0.658 0.630  -0.10
O: 0.991 0.658 0.870  -0.10
O: 0.658 0.991 0.370  -0.10
O: 0.658 0.667 0.130  -0.10
O: 0.342 0.009 0.630  -0.10
O: 0.667 0.009 0.870  -0.10
O: 0.009 0.667 0.370  -0.10
O: 0.342 0.333 0.870  -0.10
Pu: 0.667 0.333 0.250  2.00
Pu: 0.333 0.667 0.750  2.00
Zn: 0.000 0.000 0.000  -0.01
Zn: 0.000 0.000 0.500  -0.01

=====

[2]
The following is a DFT calculation (PBE) of a geometry-optimized Rb12IrO7 structure.

The value obtained for the density of states at the Fermi level is 0.325 states/eV/atom. The calculation puts the magnetization at 2.22 μB/cell. The calculation puts the uncorrected formation energy at -865 meV/atom. The raw total energy is -0.2664 Ry/atom.

abc: 10.270 10.270 10.270
angles: 109.93 109.93 109.93
Site moments in Bohr magnetons follow the coordinates.
Sites, in units of the cell vectors:
O: 0.922 0.960 0.775  0.15
O: 0.225 0.078 0.040  0.15
O: 0.775 0.922 0.960  0.15
O: 0.500 0.500 0.500  0.01
O: 0.040 0.225 0.078  0.15
O: 0.078 0.040 0.225  0.15
O: 0.960 0.775 0.922  0.15
Rb: 0.586 0.818 0.635  0.00
Rb: 0.365 0.414 0.182  0.00
Rb: 0.182 0.365 0.414  0.00
Rb: 0.805 0.941 0.236  0.00
Rb: 0.414 0.182 0.365  0.00
Rb: 0.764 0.195 0.059  0.00
Rb: 0.635 0.586 0.818  0.00
Rb: 0.059 0.764 0.195  0.00
Rb: 0.236 0.805 0.941  0.00
Rb: 0.941 0.236 0.805  0.00
Rb: 0.195 0.059 0.764  0.00
Rb: 0.818 0.635 0.586  0.00
Ir: 0.000 0.000 0.000  1.39

=====

[3]
The following is a DFT calculation (PBE) of a geometry-optimized Rb5IrO5 structure.

The value obtained for the density of states at the Fermi level is 0.175 states/eV/atom. The calculation puts the magnetization at 3.23 μB/cell. The calculation puts the uncorrected formation energy at -950 meV/atom. The raw total energy is -0.3270 Ry/atom.

abc: 5.550 6.720 7.543
angles: 106.54 90.00 114.39
Site moments in Bohr magnetons follow the coordinates.
Sites, in units of the cell vectors:
Rb: 0.325 0.650 0.707  0.00
Rb: 0.675 0.350 0.293  0.00
Rb: 0.000 0.000 0.500  0.01
Rb: 0.333 0.665 0.160  0.01
Rb: 0.667 0.335 0.840  0.01
O: 0.500 0.000 0.000  0.07
O: 0.120 0.239 0.878  0.26
O: 0.881 0.763 0.755  0.26
O: 0.880 0.761 0.122  0.26
O: 0.119 0.237 0.245  0.26
Ir: 0.000 0.000 0.000  1.71

=====

[4]
The following is a DFT calculation (PBE) of a geometry-optimized Rb2IrO4 structure.

The value obtained for the density of states at the Fermi level is 0.494 states/eV/atom. The calculation puts the magnetization at 2.33 μB/cell. The calculation puts the uncorrected formation energy at -1000 meV/atom. The raw total energy is -0.3951 Ry/atom. The energy relative to the lowest polymorph listed for this composition comes out at 56 meV/atom.

abc: 4.013 4.013 7.720
angles: 74.94 74.94 90.00
Site moments in Bohr magnetons follow the coordinates.
Sites, in units of the cell vectors:
O: 0.867 0.867 0.265  0.33
O: 0.500 0.000 0.000  0.16
O: 0.000 0.500 0.000  0.16
O: 0.133 0.133 0.735  0.33
Rb: 0.347 0.347 0.306  0.01
Rb: 0.653 0.653 0.694  0.01
Ir: 0.000 0.000 0.000  1.05

=====

[5]
The following is a DFT calculation (PBE) of a geometry-optimized Rb4IrO6 structure.

The value obtained for the density of states at the Fermi level is 0.623 states/eV/atom. The calculation puts the magnetization at 2.20 μB/cell. The calculation puts the uncorrected formation energy at -1121 meV/atom. The raw total energy is -0.3663 Ry/atom.

abc: 7.654 7.654 7.654
angles: 91.49 91.49 88.51
Site moments in Bohr magnetons follow the coordinates.
Sites, in units of the cell vectors:
Rb: 0.750 0.750 0.250  0.00
Rb: 0.250 0.250 0.750  0.00
Rb: 0.750 0.387 0.887  0.00
Rb: 0.113 0.750 0.613  0.00
Rb: 0.250 0.613 0.113  0.00
Rb: 0.613 0.887 0.750  0.00
Rb: 0.887 0.250 0.387  0.00
Rb: 0.387 0.113 0.250  0.00
O: 0.265 0.436 0.445  0.07
O: 0.564 0.445 0.265  0.07
O: 0.055 0.936 0.235  0.07
O: 0.735 0.564 0.555  0.07
O: 0.765 0.055 0.064  0.07
O: 0.445 0.735 0.436  0.07
O: 0.235 0.945 0.936  0.07
O: 0.936 0.765 0.945  0.07
O: 0.436 0.555 0.735  0.07
O: 0.945 0.064 0.765  0.07
O: 0.555 0.265 0.564  0.07
O: 0.064 0.235 0.055  0.07
Ir: 0.000 0.000 0.000  0.50
Ir: 0.500 0.500 0.500  0.50

=====

[6]
The following is a DFT calculation (PBE) of a geometry-optimized Rb3IrO3 structure.

The calculation puts the magnetization at 0.00 μB/cell. The calculation puts the uncorrected formation energy at -994 meV/atom. The raw total energy is -0.3528 Ry/atom. The energy relative to the lowest polymorph listed for this composition comes out at 66 meV/atom.

abc: 6.159 5.575 6.159
angles: 107.56 111.31 107.56
Sites, in units of the cell vectors:
O: 0.000 0.542 0.681
O: 0.681 0.542 0.000
O: 0.319 0.861 0.319
Rb: 0.408 0.417 0.408
Rb: 0.592 0.009 0.000
Rb: 0.000 0.009 0.592
Ir: 0.000 0.645 0.000

=====

[7]
The following is a DFT calculation (PBE) of a geometry-optimized Rb2IrO4 structure.

The value obtained for the density of states at the Fermi level is 0.024 states/eV/atom. The calculation puts the magnetization at 1.93 μB/cell. The calculation puts the uncorrected formation energy at -1056 meV/atom. The raw total energy is -0.3992 Ry/atom. The energy relative to the lowest polymorph listed for this composition comes out at 0 meV/atom.

abc: 6.443 7.472 7.875
angles: 115.40 90.00 115.54
Site moments in Bohr magnetons follow the coordinates.
Sites, in units of the cell vectors:
O: 0.670 0.341 0.666  0.11
O: 0.330 0.659 0.334  0.11
O: 0.893 0.295 0.114  0.10
O: 0.107 0.705 0.886  0.10
O: 0.402 0.295 0.114  0.10
O: 0.918 0.836 0.662  0.08
O: 0.598 0.705 0.886  0.10
O: 0.082 0.164 0.338  0.08
Ir: 0.175 0.350 0.230  0.44
Ir: 0.825 0.650 0.770  0.44
Rb: 0.483 0.965 0.753  0.00
Rb: 0.157 0.314 0.753  0.01
Rb: 0.517 0.035 0.247  0.00
Rb: 0.843 0.686 0.247  0.01

=====

[8]
The following is a DFT calculation (PBE) of a geometry-optimized Rb3IrO6 structure.

The value obtained for the density of states at the Fermi level is 0.011 states/eV/atom. The calculation puts the magnetization at 0.28 μB/cell. The calculation puts the uncorrected formation energy at -982 meV/atom. The raw total energy is -0.3773 Ry/atom. The energy relative to the lowest polymorph listed for this composition comes out at 0 meV/atom.

abc: 6.434 6.434 9.374
angles: 90.00 90.00 90.00
Site moments in Bohr magnetons follow the coordinates.
Sites, in units of the cell vectors:
Rb: 0.500 0.000 0.250  0.00
Rb: 0.500 0.500 0.000  0.00
Rb: 0.000 0.500 0.250  0.00
Rb: 0.000 0.500 0.750  0.00
Rb: 0.500 0.000 0.750  0.00
Rb: 0.000 0.000 0.500  0.00
O: 0.745 0.140 0.000  0.18
O: 0.000 0.000 0.799  -0.30
O: 0.860 0.745 0.000  0.18
O: 0.000 0.000 0.201  -0.30
O: 0.360 0.755 0.500  0.18
O: 0.255 0.860 0.000  0.18
O: 0.755 0.640 0.500  0.18
O: 0.140 0.255 0.000  0.18
O: 0.500 0.500 0.299  -0.30
O: 0.500 0.500 0.701  -0.30
O: 0.245 0.360 0.500  0.18
O: 0.640 0.245 0.500  0.18
Ir: 0.500 0.500 0.500  -0.01
Ir: 0.000 0.000 0.000  -0.01

=====

What did the second record say?
The following is a DFT calculation (PBE) of a geometry-optimized Rb12IrO7 structure.

The value obtained for the density of states at the Fermi level is 0.325 states/eV/atom. The calculation puts the magnetization at 2.22 μB/cell. The calculation puts the uncorrected formation energy at -865 meV/atom. The raw total energy is -0.2664 Ry/atom.

abc: 10.270 10.270 10.270
angles: 109.93 109.93 109.93
Site moments in Bohr magnetons follow the coordinates.
Sites, in units of the cell vectors:
O: 0.922 0.960 0.775  0.15
O: 0.225 0.078 0.040  0.15
O: 0.775 0.922 0.960  0.15
O: 0.500 0.500 0.500  0.01
O: 0.040 0.225 0.078  0.15
O: 0.078 0.040 0.225  0.15
O: 0.960 0.775 0.922  0.15
Rb: 0.586 0.818 0.635  0.00
Rb: 0.365 0.414 0.182  0.00
Rb: 0.182 0.365 0.414  0.00
Rb: 0.805 0.941 0.236  0.00
Rb: 0.414 0.182 0.365  0.00
Rb: 0.764 0.195 0.059  0.00
Rb: 0.635 0.586 0.818  0.00
Rb: 0.059 0.764 0.195  0.00
Rb: 0.236 0.805 0.941  0.00
Rb: 0.941 0.236 0.805  0.00
Rb: 0.195 0.059 0.764  0.00
Rb: 0.818 0.635 0.586  0.00
Ir: 0.000 0.000 0.000  1.39

=====

Copy entry 1 word for word.
The following is a DFT calculation (PBE) of a geometry-optimized PuZnIrO6 structure.

The value obtained for the density of states at the Fermi level is 0.228 states/eV/atom. The calculation puts the magnetization at 1.93 μB/cell. The calculation puts the uncorrected formation energy at -1622 meV/atom. The raw total energy is -0.5620 Ry/atom.

abc: 5.143 5.143 9.512
angles: 90.00 90.00 120.00
Site moments in Bohr magnetons follow the coordinates.
Sites, in units of the cell vectors:
Ir: 0.667 0.333 0.750  -0.34
Ir: 0.333 0.667 0.250  -0.34
O: 0.991 0.333 0.630  -0.10
O: 0.009 0.342 0.130  -0.10
O: 0.333 0.991 0.130  -0.10
O: 0.333 0.342 0.370  -0.10
O: 0.667 0.658 0.630  -0.10
O: 0.991 0.658 0.870  -0.10
O: 0.658 0.991 0.370  -0.10
O: 0.658 0.667 0.130  -0.10
O: 0.342 0.009 0.630  -0.10
O: 0.667 0.009 0.870  -0.10
O: 0.009 0.667 0.370  -0.10
O: 0.342 0.333 0.870  -0.10
Pu: 0.667 0.333 0.250  2.00
Pu: 0.333 0.667 0.750  2.00
Zn: 0.000 0.000 0.000  -0.01
Zn: 0.000 0.000 0.500  -0.01

=====

Question: What is the raw total energy in the fifth record?
Answer: -0.3663 Ry/atom

=====

Copy entry 2 word for word.
The following is a DFT calculation (PBE) of a geometry-optimized Rb12IrO7 structure.

The value obtained for the density of states at the Fermi level is 0.325 states/eV/atom. The calculation puts the magnetization at 2.22 μB/cell. The calculation puts the uncorrected formation energy at -865 meV/atom. The raw total energy is -0.2664 Ry/atom.

abc: 10.270 10.270 10.270
angles: 109.93 109.93 109.93
Site moments in Bohr magnetons follow the coordinates.
Sites, in units of the cell vectors:
O: 0.922 0.960 0.775  0.15
O: 0.225 0.078 0.040  0.15
O: 0.775 0.922 0.960  0.15
O: 0.500 0.500 0.500  0.01
O: 0.040 0.225 0.078  0.15
O: 0.078 0.040 0.225  0.15
O: 0.960 0.775 0.922  0.15
Rb: 0.586 0.818 0.635  0.00
Rb: 0.365 0.414 0.182  0.00
Rb: 0.182 0.365 0.414  0.00
Rb: 0.805 0.941 0.236  0.00
Rb: 0.414 0.182 0.365  0.00
Rb: 0.764 0.195 0.059  0.00
Rb: 0.635 0.586 0.818  0.00
Rb: 0.059 0.764 0.195  0.00
Rb: 0.236 0.805 0.941  0.00
Rb: 0.941 0.236 0.805  0.00
Rb: 0.195 0.059 0.764  0.00
Rb: 0.818 0.635 0.586  0.00
Ir: 0.000 0.000 0.000  1.39